No. 1
# InCo3Ge GGA-PBE relaxed
# D(E_F), states/eV/cell: 13.70
# VASP energy, eV per atom: -4.19
data_InCo3Ge
_cell_length_a 4.687
_cell_length_b 4.687
_cell_length_c 4.687
_cell_angle_alpha 90.00
_cell_angle_beta 90.00
_cell_angle_gamma 90.00
_symmetry_space_group_name_H-M 'P m -3 m'
_symmetry_Int_Tables_number 221
_symmetry_space_group_name_Hall '-P 4 2 3'
loop_
_atom_site_label
_atom_site_type_symbol
_atom_site_fract_x
_atom_site_fract_y
_atom_site_fract_z
In1 In 0.000 0.000 0.000
Co1 Co 0.000 0.000 0.500
Ge1 Ge 0.500 0.500 0.500

***

No. 2
# Y2InIr2 GGA-PBE relaxed
# D(E_F), states/eV/cell: 15.08
# VASP energy, eV per atom: -7.43
data_Y2InIr2
_cell_length_a 10.221
_cell_length_b 5.495
_cell_length_c 8.198
_cell_angle_alpha 90.00
_cell_angle_beta 107.13
_cell_angle_gamma 90.00
_symmetry_space_group_name_H-M 'C 1 2/c 1'
_symmetry_Int_Tables_number 15
_symmetry_space_group_name_Hall '-C 2yc'
loop_
_atom_site_label
_atom_site_type_symbol
_atom_site_fract_x
_atom_site_fract_y
_atom_site_fract_z
Y1 Y 0.145 0.159 0.148
In1 In 0.000 0.343 0.750
Ir1 Ir 0.142 0.346 0.512